No. 1
# In2GaPt8 GGA-PBE relaxed
# DOS at the Fermi energy   17.2 states/eV/cell
# Total magnetic moment   0.000 μB/cell
# Energy of formation   -303.6 meV/atom
# Mass density   16.6 g/cm3
# E   -5.470 eV/atom
data_In2GaPt8
_chemical_formula_sum 'In4 Ga2 Pt16'
_cell_length_a 15.010
_cell_length_b 4.583
_cell_length_c 5.863
_cell_angle_alpha 90.00
_cell_angle_beta 112.90
_cell_angle_gamma 90.00
_space_group_name_H-M_alt 'C 1 2/m 1'
_space_group_IT_number 12
loop_
_space_group_symop_operation_xyz
'x,y,z'
'-x,-y,-z'
'-x,y,-z'
'x,-y,z'
'x+1/2,y+1/2,z'
'-x+1/2,-y+1/2,-z'
'-x+1/2,y+1/2,-z'
'x+1/2,-y+1/2,z'
loop_
_atom_site_label
_atom_site_fract_x
_atom_site_fract_y
_atom_site_fract_z
In1 0.186 0.000 0.186
Ga1 0.000 0.500 0.500
Pt1 0.000 0.000 0.242
Pt2 0.139 0.500 0.900
Pt3 0.140 0.500 0.378
Pt4 0.174 0.000 0.674

No. 2
# InGa2Pt2 GGA-PBE relaxed
# DOS at the Fermi energy   3.0 states/eV/cell
# Total magnetic moment   0.000 μB/cell
# Energy of formation   -495.4 meV/atom
# Mass density   12.0 g/cm3
# E   -4.670 eV/atom
# Polymorph energy (0 for the lowest one)   0 kJ/mol of formula units
data_InGa2Pt2
_chemical_formula_sum 'In2 Ga4 Pt4'
_cell_length_a 3.773
_cell_length_b 3.773
_cell_length_c 12.572
_cell_angle_alpha 90.00
_cell_angle_beta 90.00
_cell_angle_gamma 90.00
_space_group_name_H-M_alt 'I 4/m m m'
_space_group_IT_number 139
_space_group_name_Hall '-I 4 2'
loop_
_atom_site_label
_atom_site_fract_x
_atom_site_fract_y
_atom_site_fract_z
In1 0.000 0.000 0.000
Ga1 0.000 0.500 0.250
Pt1 0.000 0.000 0.389